Entry 1:
First-principles (GGA-PBE) data for an optimized crystal structure of TaIn2Ir, as listed in the Alexandria database.

abc: 4.8853 4.8853 3.1093
angles: 90.00 90.00 90.00
With the nearest neighbours (Å) after each atom.
Fractional coordinates of all 4 atoms:
Ta (0.0000, 0.0000, 0.0000)  8 In 2.90, 2 Ta 3.11
In (0.0000, 0.5000, 0.5000)  4 Ta 2.90, 4 Ir 2.90, 2 In 3.11
In (0.5000, 0.0000, 0.5000)  4 Ta 2.90, 4 Ir 2.90, 2 In 3.11
Ir (0.5000, 0.5000, 0.0000)  8 In 2.90, 2 Ir 3.11

Output
formation energy	1.13	eV/f.u.
crystal system	tetragonal

***

Entry 2:
First-principles (GGA-PBE) data for an optimized crystal structure of Pr2PuPbO8, as listed in the Alexandria database.

abc: 3.9626 5.5419 8.0288
angles: 84.26 89.25 84.58
With the nearest neighbours (Å) after each atom.
Fractional coordinates of all 12 atoms:
Pr (0.0074, 0.0162, 0.2495)  8 O 2.42-2.56
Pr (0.9926, 0.9838, 0.7505)  8 O 2.42-2.56
Pu (0.5000, 0.5000, 0.5000)  4 O 1.97-2.06
Pb (0.5000, 0.5000, 0.0000)  4 O 2.15-2.21
O (0.0535, 0.7455, 0.0273)  1 Pb 2.15
O (0.0578, 0.7230, 0.5178)  1 Pu 2.06
O (0.4526, 0.2603, 0.6959)  1 Pu 1.97
O (0.4665, 0.2747, 0.2424)  1 Pb 2.21, 2 Pr 2.42-2.46
O (0.5335, 0.7253, 0.7576)  1 Pb 2.21, 2 Pr 2.42-2.46
O (0.5474, 0.7397, 0.3041)  1 Pu 1.97
O (0.9422, 0.2770, 0.4822)  1 Pu 2.06
O (0.9465, 0.2545, 0.9727)  1 Pb 2.15

Output
crystal system	triclinic
E_form (uncorrected)	-2.43	eV per atom

***

Entry 3:
First-principles (GGA-PBE) data for an optimized crystal structure of BaRuO4F, as listed in the Alexandria database.

abc: 6.7730 6.7730 7.5901
angles: 101.20 101.20 76.87
With the nearest neighbours (Å) after each atom.
Fractional coordinates of all 14 atoms:
Ba (0.1908, 0.1908, 0.1230)  2 F 2.47-2.49
Ba (0.8092, 0.8092, 0.8770)  2 F 2.47-2.49
Ru (0.3601, 0.3601, 0.7391)  4 O 1.74-1.76
Ru (0.6399, 0.6399, 0.2609)  4 O 1.74-1.76
O (0.1457, 0.4797, 0.8467)  1 Ru 1.76
O (0.2862, 0.2862, 0.5073)  1 Ru 1.74
O (0.4712, 0.4712, 0.2247)  1 Ru 1.74
O (0.4797, 0.1457, 0.8467)  1 Ru 1.76
O (0.5203, 0.8543, 0.1533)  1 Ru 1.76
O (0.5288, 0.5288, 0.7753)  1 Ru 1.74
O (0.7138, 0.7138, 0.4927)  1 Ru 1.74
O (0.8543, 0.5203, 0.1533)  1 Ru 1.76
F (0.0297, 0.0297, 0.8227)  2 Ba 2.47-2.49
F (0.9703, 0.9703, 0.1773)  2 Ba 2.47-2.49

Output
crystal system	monoclinic
E_form (uncorrected)	-1.70	eV per atom

***

Entry 4:
First-principles (GGA-PBE) data for an optimized crystal structure of Ho6Ge3AsS2, as listed in the Alexandria database.

abc: 9.1279 9.1279 8.1707
angles: 104.98 104.98 25.49
With the nearest neighbours (Å) after each atom.
Fractional coordinates of all 12 atoms:
Ho (0.0022, 0.0022, 0.2495)  1 S 2.85, 2 As 2.86, 3 Ge 2.88-2.90
Ho (0.3321, 0.3321, 0.4184)  3 S 2.82-2.85, 3 Ge 2.87-2.89
Ho (0.3331, 0.3331, 0.9163)  3 Ge 2.86-2.89, 1 As 2.87, 2 S 2.87
Ho (0.6669, 0.6669, 0.0837)  3 Ge 2.86-2.89, 1 As 2.87, 2 S 2.87
Ho (0.6679, 0.6679, 0.5816)  3 S 2.82-2.85, 3 Ge 2.87-2.89
Ho (0.9978, 0.9978, 0.7505)  1 S 2.85, 2 As 2.86, 3 Ge 2.88-2.90
Ge (0.1667, 0.1667, 0.8304)  6 Ho 2.86-2.90
Ge (0.5000, 0.5000, 0.5000)  6 Ho 2.88-2.89
Ge (0.8333, 0.8333, 0.1696)  6 Ho 2.86-2.90
As (0.5000, 0.5000, 0.0000)  6 Ho 2.86-2.87
S (0.1679, 0.1679, 0.3348)  6 Ho 2.82-2.87
S (0.8321, 0.8321, 0.6652)  6 Ho 2.82-2.87

Output
crystal system	monoclinic
E_form (uncorrected)	-1.33	eV per atom

***

Entry 5:
First-principles (GGA-PBE) data for an optimized crystal structure of BeTc3N, as listed in the Alexandria database.

abc: 3.9856 3.9856 3.9856
angles: 90.00 90.00 90.00
With the nearest neighbours (Å) after each atom.
Fractional coordinates of all 5 atoms:
Be (0.0000, 0.0000, 0.0000)  12 Tc 2.82
Tc (0.0000, 0.5000, 0.5000)  2 N 1.99
Tc (0.5000, 0.0000, 0.5000)  2 N 1.99
Tc (0.5000, 0.5000, 0.0000)  2 N 1.99
N (0.5000, 0.5000, 0.5000)  6 Tc 1.99

Output
crystal system	cubic
E_form (uncorrected)	0.13	eV per atom

***

Entry 6:
First-principles (GGA-PBE) data for an optimized crystal structure of Hf5GaSn2, as listed in the Alexandria database.

abc: 7.2872 7.2872 11.9708
angles: 90.00 90.00 140.50
With the nearest neighbours (Å) after each atom.
Fractional coordinates of all 16 atoms:
Hf (0.1060, 0.8940, 0.6212)  2 Sn 2.95-2.97, 1 Ga 3.04, 6 Hf 3.07-3.16
Hf (0.1060, 0.8940, 0.8788)  2 Sn 2.95-2.97, 1 Ga 3.04, 6 Hf 3.07-3.16
Hf (0.3088, 0.6912, 0.5130)  1 Ga 2.84, 6 Hf 2.96-3.16, 2 Sn 3.03
Hf (0.3088, 0.6912, 0.9870)  1 Ga 2.84, 6 Hf 2.96-3.16, 2 Sn 3.03
Hf (0.3127, 0.6873, 0.2500)  2 Ga 2.88, 6 Hf 3.11-3.15, 2 Sn 3.16
Hf (0.6873, 0.3127, 0.7500)  2 Ga 2.88, 6 Hf 3.11-3.15, 2 Sn 3.16
Hf (0.6912, 0.3088, 0.0130)  1 Ga 2.84, 6 Hf 2.96-3.16, 2 Sn 3.03
Hf (0.6912, 0.3088, 0.4870)  1 Ga 2.84, 6 Hf 2.96-3.16, 2 Sn 3.03
Hf (0.8940, 0.1060, 0.1212)  2 Sn 2.95-2.97, 1 Ga 3.04, 6 Hf 3.07-3.16
Hf (0.8940, 0.1060, 0.3788)  2 Sn 2.95-2.97, 1 Ga 3.04, 6 Hf 3.07-3.16
Ga (0.2967, 0.7033, 0.7500)  6 Hf 2.84-3.04, 4 Sn 3.15
Ga (0.7033, 0.2967, 0.2500)  6 Hf 2.84-3.04, 4 Sn 3.15
Sn (0.1092, 0.8908, 0.1265)  6 Hf 2.95-3.21, 1 Sn 2.96, 2 Ga 3.15
Sn (0.1092, 0.8908, 0.3735)  6 Hf 2.95-3.21, 1 Sn 2.96, 2 Ga 3.15
Sn (0.8908, 0.1092, 0.6265)  6 Hf 2.95-3.21, 1 Sn 2.96, 2 Ga 3.15
Sn (0.8908, 0.1092, 0.8735)  6 Hf 2.95-3.21, 1 Sn 2.96, 2 Ga 3.15

Output
formation energy	1.27	eV/f.u.
crystal system	orthorhombic

***

Entry 7:
First-principles (GGA-PBE) data for an optimized crystal structure of Nd2ZrZn, as listed in the Alexandria database.

abc: 3.4913 3.4913 8.8012
angles: 90.00 90.00 90.00
With the nearest neighbours (Å) after each atom.
Fractional coordinates of all 4 atoms:
Nd (0.0000, 0.0000, 0.2295)  4 Zn 3.19, 4 Zr 3.43, 4 Nd 3.49
Nd (0.0000, 0.0000, 0.7705)  4 Zn 3.19, 4 Zr 3.43, 4 Nd 3.49
Zr (0.5000, 0.5000, 0.5000)  8 Nd 3.43, 4 Zr 3.49
Zn (0.5000, 0.5000, 0.0000)  8 Nd 3.19, 4 Zn 3.49

Output
formation energy	-0.19	eV/f.u.
crystal system	tetragonal

***

Entry 8:
First-principles (GGA-PBE) data for an optimized crystal structure of KC3S, as listed in the Alexandria database.

abc: 3.8744 3.8744 3.8744
angles: 90.00 90.00 90.00
With the nearest neighbours (Å) after each atom.
Fractional coordinates of all 5 atoms:
K (0.0000, 0.0000, 0.0000)  12 C 2.74
C (0.0000, 0.5000, 0.5000)  2 S 1.94
C (0.5000, 0.0000, 0.5000)  2 S 1.94
C (0.5000, 0.5000, 0.0000)  2 S 1.94
S (0.5000, 0.5000, 0.5000)  6 C 1.94

Output
crystal system	cubic
E_form (uncorrected)	2.68	eV per atom

***

Entry 9:
First-principles (GGA-PBE) data for an optimized crystal structure of Pm3Mg2Ag2, as listed in the Alexandria database.

abc: 4.6958 22.2253 3.5828
angles: 90.00 90.00 90.00
With the nearest neighbours (Å) after each atom.
Fractional coordinates of all 14 atoms:
Pm (0.0000, 0.0000, 0.0000)  8 Mg 3.43, 4 Pm 3.58-3.64
Pm (0.0000, 0.1639, 0.0000)  6 Ag 3.15-3.26, 4 Mg 3.51
Pm (0.0000, 0.8361, 0.0000)  6 Ag 3.15-3.26, 4 Mg 3.51
Pm (0.5000, 0.3361, 0.0000)  6 Ag 3.15-3.26, 4 Mg 3.51
Pm (0.5000, 0.5000, 0.0000)  8 Mg 3.43, 4 Pm 3.58-3.64
Pm (0.5000, 0.6639, 0.0000)  6 Ag 3.15-3.26, 4 Mg 3.51
Mg (0.0000, 0.4212, 0.5000)  1 Ag 2.99
Mg (0.0000, 0.5788, 0.5000)  1 Ag 2.99
Mg (0.5000, 0.0788, 0.5000)  1 Ag 2.99
Mg (0.5000, 0.9212, 0.5000)  1 Ag 2.99
Ag (0.0000, 0.2866, 0.5000)  2 Ag 2.86, 1 Mg 2.99, 4 Pm 3.15
Ag (0.0000, 0.7134, 0.5000)  2 Ag 2.86, 1 Mg 2.99, 4 Pm 3.15
Ag (0.5000, 0.2134, 0.5000)  2 Ag 2.86, 1 Mg 2.99, 4 Pm 3.15
Ag (0.5000, 0.7866, 0.5000)  2 Ag 2.86, 1 Mg 2.99, 4 Pm 3.15

Output
formation energy	-1.24	eV/f.u.
crystal system	orthorhombic

***

Entry 10:
First-principles (GGA-PBE) data for an optimized crystal structure of CeZnNiRu, as listed in the Alexandria database.

abc: 6.4301 6.4301 6.4301
angles: 90.00 90.00 90.00
With the nearest neighbours (Å) after each atom.
Fractional coordinates of all 16 atoms:
Ce (0.0000, 0.0000, 0.0000)  4 Ru 2.78, 4 Ni 2.78
Ce (0.0000, 0.5000, 0.5000)  4 Ru 2.78, 4 Ni 2.78
Ce (0.5000, 0.0000, 0.5000)  4 Ru 2.78, 4 Ni 2.78
Ce (0.5000, 0.5000, 0.0000)  4 Ru 2.78, 4 Ni 2.78
Zn (0.0000, 0.0000, 0.5000)  4 Ni 2.78, 4 Ru 2.78
Zn (0.0000, 0.5000, 0.0000)  4 Ni 2.78, 4 Ru 2.78
Zn (0.5000, 0.0000, 0.0000)  4 Ni 2.78, 4 Ru 2.78
Zn (0.5000, 0.5000, 0.5000)  4 Ni 2.78, 4 Ru 2.78
Ni (0.2500, 0.2500, 0.7500)  4 Ce 2.78, 4 Zn 2.78
Ni (0.2500, 0.7500, 0.2500)  4 Ce 2.78, 4 Zn 2.78
Ni (0.7500, 0.2500, 0.2500)  4 Ce 2.78, 4 Zn 2.78
Ni (0.7500, 0.7500, 0.7500)  4 Ce 2.78, 4 Zn 2.78
Ru (0.2500, 0.2500, 0.2500)  4 Zn 2.78, 4 Ce 2.78
Ru (0.2500, 0.7500, 0.7500)  4 Ce 2.78, 4 Zn 2.78
Ru (0.7500, 0.2500, 0.7500)  4 Ce 2.78, 4 Zn 2.78
Ru (0.7500, 0.7500, 0.2500)  4 Ce 2.78, 4 Zn 2.78

Output
formation energy	-0.85	eV/f.u.
crystal system	cubic

***

Entry 11:
First-principles (GGA-PBE) data for an optimized crystal structure of Pm3SiBr2, as listed in the Alexandria database.

abc: 7.3296 7.3296 7.1801
angles: 99.79 99.79 115.73
With the nearest neighbours (Å) after each atom.
Fractional coordinates of all 12 atoms:
Pm (0.0000, 0.5000, 0.0000)  2 Si 2.91, 4 Br 3.05-3.12
Pm (0.1263, 0.2796, 0.4864)  2 Si 2.84-2.87, 3 Br 3.04-3.15
Pm (0.2796, 0.1263, 0.9864)  2 Si 2.84-2.87, 3 Br 3.04-3.15
Pm (0.5000, 0.0000, 0.5000)  2 Si 2.91, 4 Br 3.05-3.12
Pm (0.7204, 0.8737, 0.0136)  2 Si 2.84-2.87, 3 Br 3.04-3.15
Pm (0.8737, 0.7204, 0.5136)  2 Si 2.84-2.87, 3 Br 3.04-3.15
Si (0.0952, 0.9048, 0.2500)  6 Pm 2.84-2.91
Si (0.9048, 0.0952, 0.7500)  6 Pm 2.84-2.91
Br (0.2669, 0.7331, 0.7500)  6 Pm 3.04-3.15
Br (0.4289, 0.5711, 0.2500)  6 Pm 3.08-3.28
Br (0.5711, 0.4289, 0.7500)  6 Pm 3.08-3.28
Br (0.7331, 0.2669, 0.2500)  6 Pm 3.04-3.15

Output
crystal system	monoclinic
E_form (uncorrected)	-1.08	eV per atom